w.
Compound: Pm2Sm8Th
Source: Alexandria via LeMat-Bulk
Functional: PBE-GGA
Structure: optimized geometry

Unit cell a=5.1290 b=8.1218 c=9.5989 alpha=104.63 beta=105.50 gamma=90.00
With the nearest neighbours (Å) after each atom.
Element x y z (fractional)
Pm: 0.2280 0.6364 0.4560  10 Sm 3.62-3.68, 2 Pm 3.62
Pm: 0.7720 0.3636 0.5440  10 Sm 3.62-3.68, 2 Pm 3.62
Sm: 0.5901 0.4508 0.1803  1 Th 3.60, 8 Sm 3.61-3.69, 3 Pm 3.62-3.65
Sm: 0.3203 0.0918 0.6406  1 Th 3.59, 8 Sm 3.61-3.69, 3 Pm 3.64-3.65
Sm: 0.1343 0.1779 0.2686  7 Sm 3.56-3.69, 2 Th 3.60, 3 Pm 3.65-3.67
Sm: 0.0443 0.7334 0.0886  9 Sm 3.56-3.71, 2 Th 3.59, 1 Pm 3.68
Sm: 0.8657 0.8221 0.7314  7 Sm 3.56-3.69, 2 Th 3.60, 3 Pm 3.65-3.67
Sm: 0.6797 0.9082 0.3594  1 Th 3.59, 8 Sm 3.61-3.69, 3 Pm 3.64-3.65
Sm: 0.4099 0.5492 0.8197  1 Th 3.60, 8 Sm 3.61-3.69, 3 Pm 3.62-3.65
Sm: 0.9557 0.2666 0.9114  9 Sm 3.56-3.71, 2 Th 3.59, 1 Pm 3.68
Th: 0.5000 0.0000 0.0000  12 Sm 3.59-3.60

Summary:
- Spin magnetization: 0.00 μB per formula unit

x.
Compound: Pm2Sm8Th
Source: Alexandria via LeMat-Bulk
Functional: PBE-GGA
Structure: optimized geometry

Unit cell a=5.7193 b=10.3206 c=10.3206 alpha=39.23 beta=94.15 gamma=94.15
With the nearest neighbours (Å) after each atom.
Element x y z (fractional)
Pm: 0.7448 0.2815 0.2815  7 Sm 3.31-3.54
Pm: 0.2552 0.7185 0.7185  7 Sm 3.31-3.54
Sm: 0.2761 0.1336 0.6119  5 Sm 3.31-3.62, 1 Pm 3.50, 1 Th 3.53
Sm: 0.2761 0.6119 0.1336  5 Sm 3.31-3.62, 1 Pm 3.50, 1 Th 3.53
Sm: 0.7239 0.8664 0.3881  5 Sm 3.31-3.62, 1 Pm 3.50, 1 Th 3.53
Sm: 0.2289 0.5479 0.5479  1 Sm 3.09, 1 Pm 3.31
Sm: 0.7239 0.3881 0.8664  5 Sm 3.31-3.62, 1 Pm 3.50, 1 Th 3.53
Sm: 0.2226 0.1827 0.1827  4 Pm 3.42-3.54, 4 Sm 3.48-3.62, 1 Th 3.68
Sm: 0.7774 0.8173 0.8173  4 Pm 3.42-3.54, 4 Sm 3.48-3.62, 1 Th 3.68
Sm: 0.7711 0.4521 0.4521  1 Sm 3.09, 1 Pm 3.31
Th: 0.0000 0.0000 0.0000  10 Sm 3.53-3.79

Summary:
- Spin magnetization: 0.00 μB per formula unit

Which one sits at the top of the stability order? w does.

w.
Compound: Pm3SmTh
Source: Alexandria via LeMat-Bulk
Functional: PBE-GGA
Structure: optimized geometry

Unit cell a=6.3012 b=8.1247 c=7.2566 alpha=102.94 beta=106.80 gamma=97.44
With the nearest neighbours (Å) after each atom.
Element x y z (fractional)
Pm: 0.2000 0.4020 0.6521  5 Pm 3.56-3.67, 3 Sm 3.59-3.64, 4 Th 3.59-3.66
Pm: 0.6029 0.2074 0.9523  6 Pm 3.56-3.74, 3 Th 3.56-3.64, 3 Sm 3.62-3.73
Pm: 0.0023 0.9991 0.2451  7 Pm 3.55-3.70, 2 Th 3.60-3.64, 3 Sm 3.63-3.72
Pm: 0.8000 0.5980 0.3479  5 Pm 3.56-3.67, 3 Sm 3.59-3.64, 4 Th 3.59-3.66
Pm: 0.9977 0.0009 0.7549  7 Pm 3.55-3.70, 2 Th 3.60-3.64, 3 Sm 3.63-3.72
Pm: 0.3971 0.7926 0.0477  6 Pm 3.56-3.74, 3 Th 3.56-3.64, 3 Sm 3.62-3.73
Sm: 0.4021 0.7926 0.5478  9 Pm 3.59-3.73, 2 Th 3.59-3.64, 1 Sm 3.72
Sm: 0.5979 0.2074 0.4522  9 Pm 3.59-3.73, 2 Th 3.59-3.64, 1 Sm 3.72
Th: 0.1947 0.4017 0.1459  1 Th 3.55, 9 Pm 3.56-3.66, 2 Sm 3.59-3.64
Th: 0.8053 0.5983 0.8541  1 Th 3.55, 9 Pm 3.56-3.66, 2 Sm 3.59-3.64

Summary:
- Spin magnetization: 0.00 μB per formula unit

x.
Compound: Pm3SmTh
Source: Alexandria via LeMat-Bulk
Functional: PBE-GGA
Structure: optimized geometry

Unit cell a=7.6595 b=9.5103 c=9.5103 alpha=91.35 beta=90.00 gamma=90.00
With the nearest neighbours (Å) after each atom.
Element x y z (fractional)
Pm: 0.6201 0.8752 0.9195  4 Pm 3.35-3.61, 2 Th 3.38-3.44
Pm: 0.8799 0.0805 0.1248  4 Pm 3.35-3.61, 2 Th 3.38-3.44
Pm: 0.3799 0.1248 0.0805  4 Pm 3.35-3.61, 2 Th 3.38-3.44
Pm: 0.1201 0.9195 0.8752  4 Pm 3.35-3.61, 2 Th 3.38-3.44
Pm: 0.6421 0.4064 0.0936  5 Pm 3.35-3.61, 2 Th 3.38-3.42, 2 Sm 3.57
Pm: 0.8579 0.9064 0.5936  5 Pm 3.35-3.61, 2 Th 3.38-3.42, 2 Sm 3.57
Pm: 0.3579 0.5936 0.9064  5 Pm 3.35-3.61, 2 Th 3.38-3.42, 2 Sm 3.57
Pm: 0.1421 0.0936 0.4064  5 Pm 3.35-3.61, 2 Th 3.38-3.42, 2 Sm 3.57
Pm: 0.6201 0.5806 0.6247  4 Pm 3.35-3.61, 2 Th 3.38-3.44
Pm: 0.8799 0.3753 0.4194  4 Pm 3.35-3.61, 2 Th 3.38-3.44
Pm: 0.3799 0.4194 0.3753  4 Pm 3.35-3.61, 2 Th 3.38-3.44
Pm: 0.1201 0.6247 0.5806  4 Pm 3.35-3.61, 2 Th 3.38-3.44
Sm: 0.2500 0.7691 0.2309  6 Pm 3.57-3.83, 2 Sm 3.86, 2 Th 3.94
Sm: 0.7500 0.2309 0.7691  6 Pm 3.57-3.83, 2 Sm 3.86, 2 Th 3.94
Sm: 0.2500 0.2691 0.7309  6 Pm 3.57-3.83, 2 Sm 3.86, 2 Th 3.94
Sm: 0.7500 0.7309 0.2691  6 Pm 3.57-3.83, 2 Sm 3.86, 2 Th 3.94
Th: 0.9169 0.6048 0.8951  1 Th 3.12, 6 Pm 3.38-3.44
Th: 0.5831 0.1049 0.3952  1 Th 3.12, 6 Pm 3.38-3.44
Th: 0.0831 0.3952 0.1049  1 Th 3.12, 6 Pm 3.38-3.44
Th: 0.4169 0.8951 0.6048  1 Th 3.12, 6 Pm 3.38-3.44

Summary:
- Spin magnetization: 0.00 μB per formula unit

Which one sits at the top of the stability order? w does.

w.
Compound: Pm3Sm4Th
Source: Alexandria via LeMat-Bulk
Functional: PBE-GGA
Structure: optimized geometry

Unit cell a=3.4948 b=6.9291 c=11.9470 alpha=106.87 beta=98.41 gamma=90.00
With the nearest neighbours (Å) after each atom.
Element x y z (fractional)
Th: 0.5000 0.0000 0.0000  2 Th 3.49, 8 Pm 3.67-3.88, 4 Sm 3.67
Sm: 0.7424 0.2437 0.4849  9 Sm 3.49-3.91, 3 Pm 3.55-3.62
Sm: 0.2576 0.7563 0.5151  9 Sm 3.49-3.91, 3 Pm 3.55-3.62
Sm: 0.1229 0.3604 0.2459  3 Pm 3.29-3.64, 5 Sm 3.49-3.61, 2 Th 3.67
Sm: 0.8771 0.6396 0.7541  3 Pm 3.29-3.64, 5 Sm 3.49-3.61, 2 Th 3.67
Pm: 0.0000 0.5000 0.0000  4 Pm 3.32-3.49, 2 Sm 3.32
Pm: 0.1229 0.8858 0.2458  5 Sm 3.29-3.64, 3 Pm 3.32-3.49, 2 Th 3.67
Pm: 0.8771 0.1142 0.7542  5 Sm 3.29-3.64, 3 Pm 3.32-3.49, 2 Th 3.67

Summary:
- Spin magnetization: 0.00 μB per formula unit

x.
Compound: Pm3Sm4Th
Source: Alexandria via LeMat-Bulk
Functional: PBE-GGA
Structure: optimized geometry

Unit cell a=7.2421 b=7.2504 c=10.3098 alpha=90.00 beta=90.00 gamma=90.00
With the nearest neighbours (Å) after each atom.
Element x y z (fractional)
Pm: 0.8147 0.0001 0.0000  6 Sm 3.62-3.65, 2 Th 3.62-3.63, 4 Pm 3.65
Pm: 0.0644 0.7450 0.2499  8 Sm 3.55-3.70, 2 Th 3.62, 2 Pm 3.65
Pm: 0.5644 0.2550 0.2501  8 Sm 3.55-3.70, 2 Th 3.62, 2 Pm 3.65
Pm: 0.3147 0.9999 0.5000  6 Sm 3.62-3.65, 2 Th 3.62-3.63, 4 Pm 3.65
Pm: 0.5644 0.2550 0.7499  8 Sm 3.55-3.70, 2 Th 3.62, 2 Pm 3.65
Pm: 0.0644 0.7450 0.7501  8 Sm 3.55-3.70, 2 Th 3.62, 2 Pm 3.65
Sm: 0.3145 0.0003 0.0000  6 Pm 3.62-3.65, 6 Sm 3.62-3.66
Sm: 0.3142 0.5000 0.0000  6 Sm 3.61-3.63, 4 Pm 3.61-3.62, 2 Th 3.62
Sm: 0.0644 0.2556 0.2502  6 Pm 3.55-3.70, 2 Th 3.61-3.62, 4 Sm 3.61-3.66
Sm: 0.5644 0.7444 0.2498  6 Pm 3.55-3.70, 2 Th 3.61-3.62, 4 Sm 3.61-3.66
Sm: 0.8142 0.5000 0.5000  6 Sm 3.61-3.63, 4 Pm 3.61-3.62, 2 Th 3.62
Sm: 0.8145 0.9997 0.5000  6 Pm 3.62-3.65, 6 Sm 3.62-3.66
Sm: 0.5644 0.7444 0.7502  6 Pm 3.55-3.70, 2 Th 3.61-3.62, 4 Sm 3.61-3.66
Sm: 0.0644 0.2556 0.7498  6 Pm 3.55-3.70, 2 Th 3.61-3.62, 4 Sm 3.61-3.66
Th: 0.8143 0.4998 0.0000  6 Sm 3.61-3.62, 6 Pm 3.62-3.63
Th: 0.3143 0.5002 0.5000  6 Sm 3.61-3.62, 6 Pm 3.62-3.63

Summary:
- Spin magnetization: 0.00 μB per formula unit

Which one sits at the top of the stability order? x does.